Computed, not measured: a relaxed structure of RbRhAu2 at the PBE level of DFT.

Magnetic moment: 0.1881 μB/atom
Space group: I4_1/amd
Energy above the most stable polymorph in this dataset: 0 meV/atom
E_form: 300 meV/atom
VASP energy: -3.419 eV per atom

Lattice parameters (Å, degrees): 5.402 5.402 9.675 73.79 73.79 90.00
Each line ends with the local moment (μB).
Fractional coordinates of all 8 atoms:
Rh 0.000 0.000 0.000  0.57
Rh 0.750 0.250 0.500  0.57
Au 0.875 0.125 0.250  0.07
Au 0.875 0.625 0.250  0.08
Au 0.375 0.125 0.750  0.06
Au 0.875 0.125 0.750  0.06
Rb 0.500 0.500 0.000  0.00
Rb 0.250 0.750 0.500  0.00



Computed, not measured: a relaxed structure of PbS2NCl at the PBE level of DFT.

Magnetic moment: 0.9091 μB/atom
Space group: P4/mmm
Energy above the most stable polymorph in this dataset: 570 meV/atom
VASP energy: -3.103 eV per atom

Lattice parameters (Å, degrees): 5.357 5.357 4.585 90.00 90.00 90.00
Each line ends with the local moment (μB).
Fractional coordinates of all 5 atoms:
Pb 0.000 0.000 0.000  -0.03
S 0.000 0.500 0.000  0.65
S 0.500 0.000 0.000  0.65
N 0.000 0.000 0.500  1.21
Cl 0.500 0.500 0.500  0.57



Computed, not measured: a relaxed structure of NaCu2Sb2 at the PBE level of DFT.

Magnetic moment: 0.0000 μB/atom
Space group: I4/mmm
Energy above the most stable polymorph in this dataset: 147 meV/atom
VASP energy: -3.518 eV per atom

Lattice parameters (Å, degrees): 4.771 4.771 6.005 66.59 66.59 90.00
Fractional coordinates of all 5 atoms:
Sb 0.750 0.250 0.500
Sb 0.250 0.750 0.500
Cu 0.374 0.374 0.252
Cu 0.626 0.626 0.748
Na 0.000 0.000 0.000



Computed, not measured: a relaxed structure of NdHo2ZrAs4 at the PBE level of DFT.

Magnetic moment: 0.0000 μB/atom
Space group: P2/m
E_form: -1400 meV/atom
VASP energy: -6.533 eV per atom

Lattice parameters (Å, degrees): 4.076 7.069 7.051 109.28 90.00 90.00
Fractional coordinates of all 8 atoms:
Nd 0.500 0.500 0.000
Ho 0.500 0.000 0.500
Ho 0.000 0.500 0.500
Zr 0.000 0.000 0.000
As 0.500 0.237 0.244
As 0.500 0.763 0.756
As 0.000 0.237 0.748
As 0.000 0.763 0.252